[1]
A plane-wave DFT calculation with PBE-GGA was carried out for crystalline TlIn5 at its relaxed geometry.

The structure in CIF format:
```
data_TlIn5
_cell_length_a 12.697
_cell_length_b 3.424
_cell_length_c 8.010
_cell_angle_alpha 90.00
_cell_angle_beta 105.26
_cell_angle_gamma 90.00
_symmetry_space_group_name_H-M 'C 1 m 1'
_symmetry_Int_Tables_number 8
loop_
_symmetry_equiv_pos_as_xyz
'x,y,z'
'x,-y,z'
'x+1/2,y+1/2,z'
'x+1/2,-y+1/2,z'
loop_
_atom_site_label
_atom_site_type_symbol
_atom_site_fract_x
_atom_site_fract_y
_atom_site_fract_z
Tl1 Tl 0.000 0.000 0.000
In1 In 0.120 0.500 0.721
In2 In 0.177 0.500 0.341
In3 In 0.277 0.000 0.059
In4 In 0.337 0.000 0.663
In5 In 0.453 0.500 0.396
```

* uncorrected energy: -2.655 eV/atom
* ΔE to the lowest computed polymorph: 6 meV per atom



[2]
A plane-wave DFT calculation with PBE-GGA was carried out for crystalline CrPd4Au at its relaxed geometry.

The structure in CIF format:
```
data_CrPd4Au
_cell_length_a 2.844
_cell_length_b 3.866
_cell_length_c 8.483
_cell_angle_alpha 90.00
_cell_angle_beta 90.00
_cell_angle_gamma 90.00
_symmetry_space_group_name_H-M 'P m m m'
_symmetry_Int_Tables_number 47
loop_
_symmetry_equiv_pos_as_xyz
'x,y,z'
'-x,-y,-z'
'-x,-y,z'
'x,y,-z'
'x,-y,-z'
'-x,y,z'
'-x,y,-z'
'x,-y,z'
loop_
_atom_site_label
_atom_site_type_symbol
_atom_site_fract_x
_atom_site_fract_y
_atom_site_fract_z
Cr1 Cr 0.000 0.000 0.000
Pd1 Pd 0.000 0.000 0.323
Pd2 Pd 0.500 0.500 0.158
Au1 Au 0.500 0.500 0.500
```

* uncorrected energy: -5.653 eV/atom
* ΔE to the lowest computed polymorph: 18 meV per atom



[3]
A plane-wave DFT calculation with PBE-GGA was carried out for crystalline LaTm3Tc at its relaxed geometry.

The structure in CIF format:
```
data_LaTm3Tc
_cell_length_a 5.043
_cell_length_b 8.274
_cell_length_c 6.678
_cell_angle_alpha 90.00
_cell_angle_beta 90.00
_cell_angle_gamma 90.00
_symmetry_space_group_name_H-M 'P m m n'
_symmetry_Int_Tables_number 59
loop_
_symmetry_equiv_pos_as_xyz
'x,y,z'
'-x,-y,-z'
'-x+1/2,-y+1/2,z'
'x+1/2,y+1/2,-z'
'x+1/2,-y,-z'
'-x+1/2,y,z'
'-x,y+1/2,-z'
'x,-y+1/2,z'
loop_
_atom_site_label
_atom_site_type_symbol
_atom_site_fract_x
_atom_site_fract_y
_atom_site_fract_z
La1 La 0.250 0.250 0.090
Tm1 Tm 0.250 0.545 0.675
Tm2 Tm 0.250 0.750 0.248
Tc1 Tc 0.250 0.250 0.486
```

* uncorrected energy: -5.770 eV/atom
* ΔE to the lowest computed polymorph: 0 meV per atom



[4]
A plane-wave DFT calculation with PBE-GGA was carried out for crystalline K3HfSc at its relaxed geometry.

The structure in CIF format:
```
data_K3HfSc
_cell_length_a 6.687
_cell_length_b 6.687
_cell_length_c 6.687
_cell_angle_alpha 90.00
_cell_angle_beta 90.00
_cell_angle_gamma 90.00
_symmetry_space_group_name_H-M 'P m -3 m'
_symmetry_Int_Tables_number 221
_symmetry_space_group_name_Hall '-P 4 2 3'
loop_
_atom_site_label
_atom_site_type_symbol
_atom_site_fract_x
_atom_site_fract_y
_atom_site_fract_z
K1 K 0.000 0.000 0.500
Hf1 Hf 0.000 0.000 0.000
Sc1 Sc 0.500 0.500 0.500
```

* uncorrected energy: -2.273 eV/atom
* ΔE to the lowest computed polymorph: 0 meV per atom